No. 1
This record from Alexandria via LeMat-Bulk describes LaHBr2 after structural relaxation. The functional is GGA-PBE.

Cell and atoms, written as CIF:
```
data_LaHBr2
_space_group_name_H-M_alt 'P 1'
_space_group_IT_number 1
_space_group_name_Hall 'P 1'
_cell_length_a 9.703
_cell_length_b 9.703
_cell_length_c 9.703
_cell_angle_alpha 26.81
_cell_angle_beta 26.81
_cell_angle_gamma 26.81
loop_
_atom_site_label
_atom_site_type_symbol
_atom_site_fract_x
_atom_site_fract_y
_atom_site_fract_z
La1 La 0.000 0.000 0.000
H1 H 0.500 0.500 0.500
Br1 Br 0.097 0.097 0.097
Br2 Br 0.903 0.903 0.903
```



No. 2
This record from Alexandria via LeMat-Bulk describes LaH2Br4 after structural relaxation. The functional is GGA-PBE.

Cell and atoms, written as CIF:
```
data_LaH2Br4
_space_group_name_H-M_alt 'P 1'
_space_group_IT_number 1
_space_group_name_Hall 'P 1'
_cell_length_a 8.093
_cell_length_b 8.093
_cell_length_c 5.997
_cell_angle_alpha 90.00
_cell_angle_beta 90.00
_cell_angle_gamma 151.51
loop_
_atom_site_label
_atom_site_type_symbol
_atom_site_fract_x
_atom_site_fract_y
_atom_site_fract_z
La1 La 0.000 0.000 0.000
H1 H 0.396 0.604 0.500
H2 H 0.604 0.396 0.500
Br1 Br 0.108 0.892 0.500
Br2 Br 0.365 0.635 0.000
Br3 Br 0.635 0.365 0.000
Br4 Br 0.892 0.108 0.500
```



The records above yield uncorrected energy values of -3.083, -3.348 eV/atom, respectively.